Entry 1:
The following is a PBE-GGA calculation of a relaxed structure of Rb2Mg2F5, from Alexandria via LeMat-Bulk.

Cell: 6.5951 6.5951 7.5924 Å, 103.54 103.54 34.07°
Positions (direct):
Rb: 0.0931 0.0931 0.3681
Rb: 0.9069 0.9069 0.6319
Mg: 0.3565 0.3565 0.0687
Mg: 0.6435 0.6435 0.9313
F: 0.1817 0.1817 0.0095
F: 0.4148 0.4148 0.3237
F: 0.5000 0.5000 0.0000
F: 0.5852 0.5852 0.6763
F: 0.8183 0.8183 0.9905

Computed properties:
* ρ: 2.91 Mg/m³
* total moment: 0.00 μB per formula unit
* energy: -40.001 eV per cell

=====

Entry 2:
The following is a PBE-GGA calculation of a relaxed structure of Rb2MgF4, from Alexandria via LeMat-Bulk.

Cell: 4.1270 4.1270 13.9893 Å, 90.00 90.00 90.00°
Positions (direct):
Rb: 0.0000 0.0000 0.1484
Rb: 0.0000 0.0000 0.8516
Rb: 0.5000 0.5000 0.3516
Rb: 0.5000 0.5000 0.6484
Mg: 0.0000 0.0000 0.5000
Mg: 0.5000 0.5000 0.0000
F: 0.0000 0.0000 0.3555
F: 0.0000 0.0000 0.6445
F: 0.0000 0.5000 0.0000
F: 0.0000 0.5000 0.5000
F: 0.5000 0.0000 0.0000
F: 0.5000 0.0000 0.5000
F: 0.5000 0.5000 0.1445
F: 0.5000 0.5000 0.8555

Computed properties:
* ρ: 3.78 Mg/m³
* total moment: 0.00 μB per formula unit
* energy: -65.526 eV per cell

=====

Entry 3:
The following is a PBE-GGA calculation of a relaxed structure of Rb2MgRhF6, from Alexandria via LeMat-Bulk.

Cell: 5.9451 5.9451 5.9451 Å, 118.75 118.75 92.18°
Positions (direct):
Rb: 0.2500 0.7500 0.5000
Rb: 0.7500 0.2500 0.5000
Mg: 0.0000 0.0000 0.0000
Rh: 0.5000 0.5000 0.0000
F: 0.2349 0.2349 0.4699
F: 0.2349 0.7651 0.0000
F: 0.2515 0.2515 0.0000
F: 0.7485 0.7485 0.0000
F: 0.7651 0.2349 0.0000
F: 0.7651 0.7651 0.5301

Computed properties:
* ρ: 4.52 Mg/m³
* total moment: 1.00 μB per formula unit
* energy: -47.178 eV per cell

=====

Entry 4:
The following is a PBE-GGA calculation of a relaxed structure of Rb2MgRuF6, from Alexandria via LeMat-Bulk.

Cell: 5.9145 5.9145 5.9145 Å, 60.00 60.00 60.00°
Positions (direct):
Rb: 0.2500 0.2500 0.2500
Rb: 0.7500 0.7500 0.7500
Mg: 0.0000 0.0000 0.0000
Ru: 0.5000 0.5000 0.5000
F: 0.2431 0.2431 0.7569
F: 0.2431 0.7569 0.2431
F: 0.2431 0.7569 0.7569
F: 0.7569 0.2431 0.2431
F: 0.7569 0.2431 0.7569
F: 0.7569 0.7569 0.2431

Computed properties:
* ρ: 4.66 Mg/m³
* total moment: 0.00 μB per formula unit
* energy: -48.901 eV per cell

=====

Calculated Fermi-level density of states (states/eV per atom), listed in the same order as above: 0.17 0.00 0.00 0.00